# 1
# LiTb2B3Pt12 (PBE-GGA, optimized geometry)
# ΔH_f (0 K) in eV per atom: -0.46
# Size of the total moment in μB/f.u.: 0.00
data_LiTb2B3Pt12
_symmetry_space_group_name_H-M 'P 1'
_symmetry_Int_Tables_number 1
_cell_length_a 7.197
_cell_length_b 7.197
_cell_length_c 7.197
_cell_angle_alpha 67.30
_cell_angle_beta 67.30
_cell_angle_gamma 67.30
loop_
_symmetry_equiv_pos_as_xyz
'x,y,z'
loop_
_atom_site_label
_atom_site_type_symbol
_atom_site_fract_x
_atom_site_fract_y
_atom_site_fract_z
_atom_site_occupancy
Li1 Li 0.000 0.000 0.000 1
Tb1 Tb 0.392 0.392 0.392 1
Tb2 Tb 0.608 0.608 0.608 1
B1 B 0.000 0.000 0.500 1
B2 B 0.000 0.500 0.000 1
B3 B 0.500 0.000 0.000 1
Pt1 Pt 0.092 0.674 0.674 1
Pt2 Pt 0.126 0.126 0.626 1
Pt3 Pt 0.126 0.626 0.126 1
Pt4 Pt 0.326 0.326 0.908 1
Pt5 Pt 0.326 0.908 0.326 1
Pt6 Pt 0.374 0.874 0.874 1
Pt7 Pt 0.626 0.126 0.126 1
Pt8 Pt 0.674 0.092 0.674 1
Pt9 Pt 0.674 0.674 0.092 1
Pt10 Pt 0.874 0.374 0.874 1
Pt11 Pt 0.874 0.874 0.374 1
Pt12 Pt 0.908 0.326 0.326 1

---

# 2
# LiTb2BPt6 (PBE-GGA, optimized geometry)
# ΔH_f (0 K) in eV per atom: -0.83
# Size of the total moment in μB/f.u.: 0.00
data_LiTb2BPt6
_symmetry_space_group_name_H-M 'P 1'
_symmetry_Int_Tables_number 1
_cell_length_a 5.600
_cell_length_b 8.670
_cell_length_c 7.290
_cell_angle_alpha 90.00
_cell_angle_beta 90.00
_cell_angle_gamma 90.00
loop_
_symmetry_equiv_pos_as_xyz
'x,y,z'
loop_
_atom_site_label
_atom_site_type_symbol
_atom_site_fract_x
_atom_site_fract_y
_atom_site_fract_z
_atom_site_occupancy
Li1 Li 0.250 0.250 0.186 1
Li2 Li 0.750 0.750 0.814 1
Tb1 Tb 0.250 0.535 0.791 1
Tb2 Tb 0.250 0.965 0.791 1
Tb3 Tb 0.750 0.035 0.209 1
Tb4 Tb 0.750 0.465 0.209 1
B1 B 0.250 0.750 0.301 1
B2 B 0.750 0.250 0.699 1
Pt1 Pt 0.000 0.250 0.912 1
Pt2 Pt 0.000 0.750 0.088 1
Pt3 Pt 0.009 0.250 0.482 1
Pt4 Pt 0.250 0.505 0.372 1
Pt5 Pt 0.250 0.995 0.372 1
Pt6 Pt 0.491 0.250 0.482 1
Pt7 Pt 0.500 0.250 0.912 1
Pt8 Pt 0.500 0.750 0.088 1
Pt9 Pt 0.509 0.750 0.518 1
Pt10 Pt 0.750 0.005 0.628 1
Pt11 Pt 0.750 0.495 0.628 1
Pt12 Pt 0.991 0.750 0.518 1

---

# 3
# Li2TcBPt (PBE-GGA, optimized geometry)
# ΔH_f (0 K) in eV per atom: 1.77
# Size of the total moment in μB/f.u.: 1.15
data_Li2TcBPt
_symmetry_space_group_name_H-M 'P 1'
_symmetry_Int_Tables_number 1
_cell_length_a 4.786
_cell_length_b 4.786
_cell_length_c 4.664
_cell_angle_alpha 90.00
_cell_angle_beta 90.00
_cell_angle_gamma 90.00
loop_
_symmetry_equiv_pos_as_xyz
'x,y,z'
loop_
_atom_site_label
_atom_site_type_symbol
_atom_site_fract_x
_atom_site_fract_y
_atom_site_fract_z
_atom_site_occupancy
Li1 Li 0.000 0.500 0.000 1
Li2 Li 0.500 0.000 0.000 1
Tc1 Tc 0.000 0.000 0.000 1
B1 B 0.500 0.500 0.500 1
Pt1 Pt 0.000 0.000 0.500 1

---

# 4
# LiThB2Pt5 (PBE-GGA, optimized geometry)
# ΔH_f (0 K) in eV per atom: -0.60
# Size of the total moment in μB/f.u.: 0.00
data_LiThB2Pt5
_symmetry_space_group_name_H-M 'P 1'
_symmetry_Int_Tables_number 1
_cell_length_a 4.209
_cell_length_b 4.209
_cell_length_c 8.230
_cell_angle_alpha 90.00
_cell_angle_beta 90.00
_cell_angle_gamma 90.00
loop_
_symmetry_equiv_pos_as_xyz
'x,y,z'
loop_
_atom_site_label
_atom_site_type_symbol
_atom_site_fract_x
_atom_site_fract_y
_atom_site_fract_z
_atom_site_occupancy
Li1 Li 0.000 0.000 0.000 1
Th1 Th 0.000 0.000 0.500 1
B1 B 0.500 0.500 0.277 1
B2 B 0.500 0.500 0.723 1
Pt1 Pt 0.000 0.500 0.234 1
Pt2 Pt 0.000 0.500 0.766 1
Pt3 Pt 0.500 0.000 0.234 1
Pt4 Pt 0.500 0.000 0.766 1
Pt5 Pt 0.500 0.500 0.000 1

---

# 5
# LiTlBPt2 (PBE-GGA, optimized geometry)
# ΔH_f (0 K) in eV per atom: -0.17
# Size of the total moment in μB/f.u.: 0.00
data_LiTlBPt2
_symmetry_space_group_name_H-M 'P 1'
_symmetry_Int_Tables_number 1
_cell_length_a 4.191
_cell_length_b 4.191
_cell_length_c 4.585
_cell_angle_alpha 90.00
_cell_angle_beta 90.00
_cell_angle_gamma 90.00
loop_
_symmetry_equiv_pos_as_xyz
'x,y,z'
loop_
_atom_site_label
_atom_site_type_symbol
_atom_site_fract_x
_atom_site_fract_y
_atom_site_fract_z
_atom_site_occupancy
Li1 Li 0.000 0.000 0.000 1
Tl1 Tl 0.500 0.500 0.000 1
B1 B 0.000 0.000 0.500 1
Pt1 Pt 0.000 0.500 0.500 1
Pt2 Pt 0.500 0.000 0.500 1

---

# 6
# LiY2BPt6 (PBE-GGA, optimized geometry)
# ΔH_f (0 K) in eV per atom: -0.82
# Size of the total moment in μB/f.u.: 0.00
data_LiY2BPt6
_symmetry_space_group_name_H-M 'P 1'
_symmetry_Int_Tables_number 1
_cell_length_a 5.598
_cell_length_b 8.674
_cell_length_c 7.280
_cell_angle_alpha 90.00
_cell_angle_beta 90.00
_cell_angle_gamma 90.00
loop_
_symmetry_equiv_pos_as_xyz
'x,y,z'
loop_
_atom_site_label
_atom_site_type_symbol
_atom_site_fract_x
_atom_site_fract_y
_atom_site_fract_z
_atom_site_occupancy
Li1 Li 0.250 0.250 0.184 1
Li2 Li 0.750 0.750 0.816 1
Y1 Y 0.250 0.536 0.793 1
Y2 Y 0.250 0.964 0.793 1
Y3 Y 0.750 0.036 0.207 1
Y4 Y 0.750 0.464 0.207 1
B1 B 0.250 0.750 0.303 1
B2 B 0.750 0.250 0.697 1
Pt1 Pt 0.001 0.250 0.909 1
Pt2 Pt 0.009 0.250 0.481 1
Pt3 Pt 0.250 0.505 0.372 1
Pt4 Pt 0.250 0.995 0.372 1
Pt5 Pt 0.491 0.250 0.481 1
Pt6 Pt 0.499 0.250 0.909 1
Pt7 Pt 0.501 0.750 0.091 1
Pt8 Pt 0.509 0.750 0.519 1
Pt9 Pt 0.750 0.005 0.628 1
Pt10 Pt 0.750 0.495 0.628 1
Pt11 Pt 0.991 0.750 0.519 1
Pt12 Pt 0.999 0.750 0.091 1

---

# 7
# Li3Zn2BPt3 (PBE-GGA, optimized geometry)
# ΔH_f (0 K) in eV per atom: -0.55
# Size of the total moment in μB/f.u.: 0.00
data_Li3Zn2BPt3
_symmetry_space_group_name_H-M 'P 1'
_symmetry_Int_Tables_number 1
_cell_length_a 6.887
_cell_length_b 6.887
_cell_length_c 2.845
_cell_angle_alpha 90.00
_cell_angle_beta 90.00
_cell_angle_gamma 120.00
loop_
_symmetry_equiv_pos_as_xyz
'x,y,z'
loop_
_atom_site_label
_atom_site_type_symbol
_atom_site_fract_x
_atom_site_fract_y
_atom_site_fract_z
_atom_site_occupancy
Li1 Li 0.000 0.381 0.000 1
Li2 Li 0.381 0.000 0.000 1
Li3 Li 0.619 0.619 0.000 1
Zn1 Zn 0.333 0.667 0.500 1
Zn2 Zn 0.667 0.333 0.500 1
B1 B 0.000 0.000 0.000 1
Pt1 Pt 0.000 0.752 0.500 1
Pt2 Pt 0.248 0.248 0.500 1
Pt3 Pt 0.752 0.000 0.500 1

---

# 8
# Li2Zn2BPt4 (PBE-GGA, optimized geometry)
# ΔH_f (0 K) in eV per atom: -0.54
# Size of the total moment in μB/f.u.: 0.00
data_Li2Zn2BPt4
_symmetry_space_group_name_H-M 'P 1'
_symmetry_Int_Tables_number 1
_cell_length_a 5.615
_cell_length_b 5.615
_cell_length_c 5.615
_cell_angle_alpha 119.85
_cell_angle_beta 119.85
_cell_angle_gamma 90.25
loop_
_symmetry_equiv_pos_as_xyz
'x,y,z'
loop_
_atom_site_label
_atom_site_type_symbol
_atom_site_fract_x
_atom_site_fract_y
_atom_site_fract_z
_atom_site_occupancy
Li1 Li 0.227 0.227 0.000 1
Li2 Li 0.773 0.773 0.000 1
Zn1 Zn 0.250 0.750 0.500 1
Zn2 Zn 0.750 0.250 0.500 1
B1 B 0.500 0.500 0.000 1
Pt1 Pt 0.244 0.244 0.489 1
Pt2 Pt 0.244 0.756 0.000 1
Pt3 Pt 0.756 0.244 0.000 1
Pt4 Pt 0.756 0.756 0.511 1